Entry 1:
Compound: PrGd3Ru
Source: Alexandria via LeMat-Bulk
Functional: PBE
Structure: optimized geometry

Cell lengths 5.448, 5.448, 5.448 Å; angles 90.00, 90.00, 90.00 degrees
Last column: magnetic moment on the atom in μB.
Atoms (fractional coordinates):
Gd (0.000, 0.500, 0.000)  7.12
Gd (0.500, 0.000, 0.000)  7.12
Gd (0.000, 0.000, 0.500)  7.12
Pr (0.500, 0.500, 0.500)  0.26
Ru (0.000, 0.000, 0.000)  -0.07

Computed properties:
Energy of formation: -0.09 eV per atom
Density: 7.3 g/cm³
Symmetry: No. 221
DOS(E_F): 5.70 states/eV per cell
Total moment: 22.692 μB/f.u.

Entry 2:
Compound: MnV5W4
Source: Alexandria via LeMat-Bulk
Functional: PBE
Structure: optimized geometry

Cell lengths 3.046, 3.046, 15.260 Å; angles 90.00, 90.00, 90.00 degrees
Atoms (fractional coordinates):
W (0.000, 0.000, 0.602)
W (0.000, 0.000, 0.194)
W (0.000, 0.000, 0.806)
W (0.000, 0.000, 0.398)
V (0.500, 0.500, 0.295)
V (0.500, 0.500, 0.908)
V (0.500, 0.500, 0.500)
V (0.500, 0.500, 0.705)
V (0.500, 0.500, 0.092)
Mn (0.000, 0.000, 0.000)

Computed properties:
Energy of formation: -0.09 eV per atom
Density: 12.3 g/cm³
Symmetry: No. 123
DOS(E_F): 7.94 states/eV per cell
Total moment: 0.000 μB/f.u.

Entry 3:
Compound: LiScPd
Source: Alexandria via LeMat-Bulk
Functional: PBE
Structure: optimized geometry

Cell lengths 3.018, 4.408, 4.408 Å; angles 120.00, 90.00, 90.00 degrees
Atoms (fractional coordinates):
Pd (0.600, 0.667, 0.333)
Li (0.400, 0.333, 0.667)
Sc (0.000, 0.000, 0.000)

Computed properties:
Energy of formation: -0.42 eV per atom
Density: 5.2 g/cm³
Symmetry: No. 156
DOS(E_F): 2.84 states/eV per cell
Total moment: 0.000 μB/f.u.

Entry 4:
Compound: SbCClF2
Source: Alexandria via LeMat-Bulk
Functional: PBE
Structure: optimized geometry

Cell lengths 3.886, 6.003, 3.886 Å; angles 90.00, 90.00, 90.00 degrees
Last column: magnetic moment on the atom in μB.
Atoms (fractional coordinates):
Cl (0.000, 0.000, 0.000)  0.01
F (0.000, 0.000, 0.500)  0.00
F (0.500, 0.000, 0.000)  0.01
C (0.500, 0.500, 0.500)  0.41
Sb (0.000, 0.500, 0.000)  -0.05

Computed properties:
Density: 3.8 g/cm³
Raw formation energy: 89.9 kJ per mole of atoms
Symmetry: No. 123
DOS(E_F): 1.89 states/eV per cell
Total moment: 0.769 μB/f.u.

Repeat the second record exactly.
Compound: MnV5W4
Source: Alexandria via LeMat-Bulk
Functional: PBE
Structure: optimized geometry

Cell lengths 3.046, 3.046, 15.260 Å; angles 90.00, 90.00, 90.00 degrees
Atoms (fractional coordinates):
W (0.000, 0.000, 0.602)
W (0.000, 0.000, 0.194)
W (0.000, 0.000, 0.806)
W (0.000, 0.000, 0.398)
V (0.500, 0.500, 0.295)
V (0.500, 0.500, 0.908)
V (0.500, 0.500, 0.500)
V (0.500, 0.500, 0.705)
V (0.500, 0.500, 0.092)
Mn (0.000, 0.000, 0.000)

Computed properties:
Energy of formation: -0.09 eV per atom
Density: 12.3 g/cm³
Symmetry: No. 123
DOS(E_F): 7.94 states/eV per cell
Total moment: 0.000 μB/f.u.